[1]
Computed, not measured: a geometry-optimized YHo2TmP4 structure at the PBE level of DFT.

Properties
Its space group is No. 10. The calculation puts the energy relative to the elements at -1.6154 eV per atom. As for the theoretical density: 6.61 Mg/m³. The calculation puts the size of the total moment at 0.00 μB per formula unit.

The structure in POSCAR format:
```
YHo2TmP4
1.0
3.985 0.000 0.000
0.000 6.899 0.121
0.000 -2.412 6.464
Y P Tm Ho
1 4 1 2
Direct
0.000 0.000 0.000 Y
0.000 0.252 0.751 P
0.500 0.252 0.250 P
0.500 0.748 0.750 P
0.000 0.748 0.249 P
0.500 0.500 0.000 Tm
0.000 0.500 0.500 Ho
0.500 0.000 0.500 Ho
```



[2]
Computed, not measured: a geometry-optimized Y2HoTmP4 structure at the PBE level of DFT.

Properties
Its space group is No. 10. The calculation puts the energy relative to the elements at -1.6191 eV per atom. As for the theoretical density: 5.87 Mg/m³. The calculation puts the size of the total moment at 0.00 μB per formula unit.

The structure in POSCAR format:
```
Y2HoTmP4
1.0
3.992 0.000 0.000
0.000 6.910 0.121
0.000 -2.416 6.475
P Tm Ho Y
4 1 1 2
Direct
0.000 0.750 0.247 P
0.000 0.250 0.753 P
0.500 0.248 0.246 P
0.500 0.752 0.754 P
0.000 0.000 0.000 Tm
0.500 0.500 0.000 Ho
0.500 0.000 0.500 Y
0.000 0.500 0.500 Y
```



[3]
Computed, not measured: a geometry-optimized HoTm2ZrP4 structure at the PBE level of DFT.

Properties
Its space group is No. 10. The calculation puts the energy relative to the elements at -1.5488 eV per atom. As for the theoretical density: 7.13 Mg/m³. The calculation puts the size of the total moment at 0.00 μB per formula unit.

The structure in POSCAR format:
```
HoTm2ZrP4
1.0
-3.659 -1.302 -0.259
2.101 -6.217 1.580
-1.583 3.321 5.655
P Tm Zr Ho
4 2 1 1
Direct
0.500 0.759 0.757 P
0.500 0.241 0.243 P
0.000 0.244 0.753 P
0.000 0.756 0.247 P
0.500 0.000 0.500 Tm
0.000 0.500 0.500 Tm
0.000 0.000 0.000 Zr
0.500 0.500 0.000 Ho
```



[4]
Computed, not measured: a geometry-optimized Ho2TmZrP4 structure at the PBE level of DFT.

Properties
Its space group is No. 10. The calculation puts the energy relative to the elements at -1.5545 eV per atom. As for the theoretical density: 7.03 Mg/m³. The calculation puts the size of the total moment at 0.00 μB per formula unit.

The structure in POSCAR format:
```
Ho2TmZrP4
1.0
-2.167 -1.485 -2.884
3.239 -5.907 0.607
-5.412 0.010 4.062
P Tm Ho Zr
4 1 2 1
Direct
0.000 0.247 0.757 P
0.500 0.759 0.760 P
0.000 0.753 0.243 P
0.500 0.241 0.240 P
0.500 0.500 0.000 Tm
0.500 0.000 0.500 Ho
0.000 0.500 0.500 Ho
0.000 0.000 0.000 Zr
```



[5]
Computed, not measured: a geometry-optimized Ho2UP3 structure at the PBE level of DFT.

Properties
Its space group is No. 139. The calculation puts the energy relative to the elements at -1.4013 eV per atom. As for the theoretical density: 8.30 Mg/m³. The calculation puts the size of the total moment at 2.28 μB per formula unit.

The structure in POSCAR format:
```
Ho2UP3
1.0
3.871 -0.001 -0.882
-0.201 3.865 -0.883
-0.020 -0.020 8.850
P Ho U
3 2 1
Direct
0.599 0.600 0.203 P
0.270 0.271 0.545 P
0.934 0.936 0.874 P
0.102 0.103 0.210 Ho
0.766 0.768 0.538 Ho
0.434 0.436 0.874 U
```



[6]
Computed, not measured: a geometry-optimized HoUP2 structure at the PBE level of DFT.

Properties
Its space group is No. 166. The calculation puts the energy relative to the elements at -1.2940 eV per atom. As for the theoretical density: 8.79 Mg/m³. The calculation puts the size of the total moment at 2.29 μB per formula unit. The energy above the most stable polymorph in this dataset comes out at 0 meV per atom.

The structure in POSCAR format:
```
HoUP2
1.0
3.938 0.000 0.000
1.969 3.410 0.000
1.969 1.137 6.543
Ho U P
1 1 2
Direct
0.500 0.500 0.500 Ho
0.000 0.000 0.000 U
0.251 0.251 0.246 P
0.749 0.749 0.754 P
```



[7]
Computed, not measured: a geometry-optimized Ho4UP5 structure at the PBE level of DFT.

Properties
Its space group is No. 71. The calculation puts the energy relative to the elements at -1.4846 eV per atom. As for the theoretical density: 7.87 Mg/m³. The calculation puts the size of the total moment at 2.29 μB per formula unit.

The structure in POSCAR format:
```
Ho4UP5
1.0
3.895 0.000 -0.751
-0.289 5.404 -1.500
0.014 0.009 10.542
P Ho U
5 4 1
Direct
0.598 0.098 0.196 P
0.000 0.500 0.000 P
0.200 0.700 0.401 P
0.800 0.300 0.599 P
0.402 0.902 0.804 P
0.399 0.399 0.797 Ho
0.201 0.201 0.403 Ho
0.799 0.799 0.597 Ho
0.601 0.601 0.203 Ho
0.000 0.000 0.000 U
```



[8]
Computed, not measured: a geometry-optimized HoUP2 structure at the PBE level of DFT.

Properties
Its space group is No. 160. The calculation puts the energy relative to the elements at -1.1172 eV per atom. As for the theoretical density: 8.61 Mg/m³. The calculation puts the size of the total moment at 2.78 μB per formula unit. The energy above the most stable polymorph in this dataset comes out at 177 meV per atom.

The structure in POSCAR format:
```
HoUP2
1.0
-1.000 3.670 0.607
-2.123 1.875 -2.611
-6.861 -0.269 2.543
P Ho U
2 1 1
Direct
0.082 0.082 0.753 P
0.251 0.251 0.248 P
0.670 0.670 0.991 Ho
0.498 0.498 0.507 U
```



[9]
Computed, not measured: a geometry-optimized HoU5P6 structure at the PBE level of DFT.

Properties
Its space group is No. 12. The calculation puts the energy relative to the elements at -1.0678 eV per atom. As for the theoretical density: 9.83 Mg/m³. The calculation puts the size of the total moment at 10.84 μB per formula unit.

The structure in POSCAR format:
```
HoU5P6
1.0
6.746 0.168 1.027
1.661 5.723 3.337
0.114 0.057 6.835
U P Ho
5 6 1
Direct
0.500 0.834 0.331 U
0.500 0.166 0.669 U
0.000 0.334 0.333 U
0.000 0.666 0.667 U
0.500 0.500 0.000 U
0.749 0.084 0.335 P
0.749 0.419 0.665 P
0.250 0.251 0.000 P
0.251 0.581 0.335 P
0.251 0.916 0.665 P
0.750 0.749 0.000 P
0.000 0.000 0.000 Ho
```



[10]
Computed, not measured: a geometry-optimized YHoU2P4 structure at the PBE level of DFT.

Properties
Its space group is No. 10. The calculation puts the energy relative to the elements at -1.2971 eV per atom. As for the theoretical density: 8.02 Mg/m³. The calculation puts the size of the total moment at 4.62 μB per formula unit.

The structure in POSCAR format:
```
YHoU2P4
1.0
3.946 0.000 0.000
0.000 6.831 0.117
0.000 -2.391 6.516
P Ho Y U
4 1 1 2
Direct
0.500 0.749 0.746 P
0.500 0.251 0.254 P
0.000 0.753 0.255 P
0.000 0.247 0.745 P
0.000 0.000 0.000 Ho
0.500 0.500 0.000 Y
0.500 0.000 0.500 U
0.000 0.500 0.500 U
```



[11]
Computed, not measured: a geometry-optimized Ho2ZrUP4 structure at the PBE level of DFT.

Properties
Its space group is No. 10. The calculation puts the energy relative to the elements at -1.3879 eV per atom. As for the theoretical density: 7.73 Mg/m³. The calculation puts the size of the total moment at 2.10 μB per formula unit.

The structure in POSCAR format:
```
Ho2ZrUP4
1.0
-1.900 -0.566 3.356
5.880 -0.614 3.226
-1.888 6.513 0.030
Zr P Ho U
1 4 2 1
Direct
0.000 0.000 0.000 Zr
0.500 0.756 0.762 P
0.000 0.752 0.242 P
0.000 0.248 0.758 P
0.500 0.244 0.238 P
0.000 0.500 0.500 Ho
0.500 0.000 0.500 Ho
0.500 0.500 0.000 U
```



[12]
Computed, not measured: a geometry-optimized HoZrU2P4 structure at the PBE level of DFT.

Properties
Its space group is No. 10. The calculation puts the energy relative to the elements at -1.2480 eV per atom. As for the theoretical density: 8.51 Mg/m³. The calculation puts the size of the total moment at 4.16 μB per formula unit.

The structure in POSCAR format:
```
HoZrU2P4
1.0
3.873 0.000 0.000
0.000 6.715 0.122
0.000 -2.342 6.378
P Zr U Ho
4 1 2 1
Direct
0.000 0.756 0.248 P
0.500 0.758 0.756 P
0.500 0.242 0.244 P
0.000 0.244 0.752 P
0.000 0.000 0.000 Zr
0.500 0.000 0.500 U
0.000 0.500 0.500 U
0.500 0.500 0.000 Ho
```